# 1
{"formula": "CoIrPt2", "functional": "GGA-PBE", "state": "optimized geometry", "lattice": [[-0.6257, -2.6448, 3.8615], [-1.7324, -4.0242, 1.7615], [3.8583, -2.7173, -0.2485]], "species": ["Co", "Ir", "Pt", "Pt"], "frac_coords": [[0.7500, 0.7500, 0.7500], [0.2500, 0.2500, 0.2500], [0.0018, 0.0018, 0.9973], [0.4982, 0.4982, 0.5027]]}


# 2
{"formula": "ZrNiRu", "functional": "GGA-PBE", "state": "optimized geometry", "lattice": [[4.9845, -0.0232, 0.0107], [2.8683, 4.0765, -0.0107], [-3.9310, -2.0178, 2.3068]], "species": ["Ni", "Ru", "Zr"], "frac_coords": [[0.0024, 0.0024, 0.0000], [0.6644, 0.6644, 0.0000], [0.3332, 0.3332, 0.0000]]}


# 3
{"formula": "Th3Ti2Ni9", "functional": "GGA-PBE", "state": "optimized geometry", "lattice": [[-3.4711, 1.4219, 1.0880], [-5.1695, -6.0012, -1.6394], [-1.8482, -4.2299, 6.6421]], "species": ["Th", "Th", "Th", "Ti", "Ti", "Ni", "Ni", "Ni", "Ni", "Ni", "Ni", "Ni", "Ni", "Ni"], "frac_coords": [[0.0000, 0.0000, 0.0000], [0.7148, 0.2852, 0.2852], [0.2852, 0.7148, 0.7148], [0.5000, 0.3152, 0.6848], [0.5000, 0.6848, 0.3152], [0.0000, 0.5000, 0.5000], [0.6549, 0.9826, 0.7077], [0.3451, 0.0174, 0.2923], [0.6549, 0.7077, 0.9826], [0.3451, 0.2923, 0.0174], [0.8707, 0.8328, 0.4257], [0.1293, 0.1672, 0.5743], [0.8707, 0.4257, 0.8328], [0.1293, 0.5743, 0.1672]]}


# 4
{"formula": "MgTl6Pb2", "functional": "GGA-PBE", "state": "optimized geometry", "lattice": [[3.5513, 0.0000, 0.0000], [-1.7757, 3.0756, 0.0000], [0.0000, 0.0000, 24.8160]], "species": ["Mg", "Tl", "Tl", "Tl", "Tl", "Tl", "Tl", "Pb", "Pb"], "frac_coords": [[0.3333, 0.6667, 0.0000], [0.6667, 0.3333, 0.9031], [0.3333, 0.6667, 0.4358], [0.3333, 0.6667, 0.7901], [0.3333, 0.6667, 0.2099], [0.3333, 0.6667, 0.5642], [0.6667, 0.3333, 0.0969], [0.6667, 0.3333, 0.3235], [0.6667, 0.3333, 0.6765]]}


no.,DOS(E_F) (states/eV/f.u.),formation energy from the elements (kcal/mol of atoms)
1,6.2,1.38
2,5.1,-4.11
3,11.5,-8.47
4,5.4,0.28